1.
The following is a GGA-PBE calculation of an optimized crystal structure of La2ZnAg, from the Alexandria database.

The structure in extended XYZ format:
```
16
Lattice="8.3402 0.0000 0.0000 0.0000 8.3402 0.0000 0.0000 0.0000 6.7469" Properties=species:S:1:pos:R:3 pbc="T T T"
La 2.0877 2.0850 0.8434
La 2.0824 2.0850 4.2168
La 2.0850 6.2578 2.5301
La 2.0850 6.2525 5.9036
La 6.2551 2.0824 2.5301
La 6.2551 2.0877 5.9036
La 6.2525 6.2551 0.8434
La 6.2578 6.2551 4.2168
Zn 0.0000 0.0000 0.0000
Zn 0.0000 4.1701 1.6867
Zn 4.1701 0.0000 5.0602
Zn 4.1701 4.1701 3.3735
Ag 0.0000 0.0000 3.3735
Ag 0.0000 4.1701 5.0602
Ag 4.1701 0.0000 1.6867
Ag 4.1701 4.1701 0.0000
```

## Properties
The crystal system is tetragonal. The calculation puts the total DFT energy (no corrections) at -3.432 eV per atom. The total magnetic moment comes out at 0.4 μB per formula unit. As for the formation enthalpy at 0 K: 0.06 eV/atom. Its space group is I-42d.

***

2.
The following is a GGA-PBE calculation of an optimized crystal structure of LaZn2Ag, from the Alexandria database.

The structure in extended XYZ format:
```
16
Lattice="4.6598 0.0000 0.0000 0.0000 4.6598 0.0000 0.0000 0.0000 18.5702" Properties=species:S:1:pos:R:3 pbc="T T T"
La 0.0000 0.0000 0.0000
La 0.0000 2.3299 4.6426
La 2.3299 0.0000 13.9277
La 2.3299 2.3299 9.2851
Zn 0.4098 1.1650 11.6064
Zn 1.1650 2.7397 16.2490
Zn 1.1650 4.2501 6.9638
Zn 1.9202 1.1650 2.3213
Zn 2.7397 3.4949 2.3213
Zn 3.4949 0.4098 6.9638
Zn 3.4949 1.9202 16.2490
Zn 4.2501 3.4949 11.6064
Ag 0.0000 0.0000 9.2851
Ag 0.0000 2.3299 13.9277
Ag 2.3299 0.0000 4.6426
Ag 2.3299 2.3299 0.0000
```

## Properties
The crystal system is tetragonal. The calculation puts the total DFT energy (no corrections) at -2.624 eV per atom. The total magnetic moment comes out at 0.0 μB per formula unit. As for the formation enthalpy at 0 K: -0.04 eV/atom. Its space group is I-42d.

***

3.
The following is a GGA-PBE calculation of an optimized crystal structure of La2ZnAg, from the Alexandria database.

The structure in extended XYZ format:
```
4
Lattice="3.8486 0.0000 0.0000 0.0000 3.8486 0.0000 0.0000 0.0000 7.3485" Properties=species:S:1:pos:R:3 pbc="T T T"
La 0.0000 0.0000 1.7620
La 0.0000 0.0000 5.5865
Zn 1.9243 1.9243 0.0000
Ag 1.9243 1.9243 3.6742
```

## Properties
The crystal system is tetragonal. The calculation puts the total DFT energy (no corrections) at -3.785 eV per atom. The total magnetic moment comes out at 0.0 μB per formula unit. As for the formation enthalpy at 0 K: -0.29 eV/atom. Its space group is P4/mmm.

***

4.
The following is a GGA-PBE calculation of an optimized crystal structure of La3Zn7Ag2, from the Alexandria database.

The structure in extended XYZ format:
```
12
Lattice="2.8089 1.6217 9.0391 -2.8089 1.6217 9.0391 0.0000 -3.2435 9.0391" Properties=species:S:1:pos:R:3 pbc="T T T"
La 0.0000 0.0000 0.0000
La 0.0000 0.0000 3.9378
La 0.0000 0.0000 23.1794
Zn -1.4136 -0.8161 11.2809
Zn 0.0000 -1.6323 15.8362
Zn -1.4136 0.8161 15.8362
Zn 0.0000 0.0000 13.5586
Zn 1.4136 -0.8161 11.2809
Zn 0.0000 1.6323 11.2809
Zn 1.4136 0.8161 15.8362
Ag 0.0000 0.0000 9.0698
Ag 0.0000 0.0000 18.0473
```

## Properties
The crystal system is trigonal. The calculation puts the total DFT energy (no corrections) at -2.735 eV per atom. The total magnetic moment comes out at 0.0 μB per formula unit. As for the formation enthalpy at 0 K: -0.28 eV/atom. Its space group is R-3m.

***

5.
The following is a GGA-PBE calculation of an optimized crystal structure of LaZn2Ag, from the Alexandria database.

The structure in extended XYZ format:
```
12
Lattice="3.4097 0.0000 0.0000 -1.7048 2.9529 0.0000 0.0000 0.0000 26.7111" Properties=species:S:1:pos:R:3 pbc="T T T"
La 0.0000 0.0000 0.0000
La 0.0000 1.9686 17.8074
La 1.7048 0.9843 8.9037
Zn 0.0000 0.0000 13.2492
Zn 0.0000 0.0000 20.4027
Zn 0.0000 1.9686 4.3455
Zn 0.0000 1.9686 11.4991
Zn 1.7048 0.9843 2.5954
Zn 1.7048 0.9843 22.1528
Ag 0.0000 0.0000 6.2265
Ag 0.0000 1.9686 24.0338
Ag 1.7048 0.9843 15.1301
```

## Properties
The crystal system is trigonal. The calculation puts the total DFT energy (no corrections) at -2.503 eV per atom. The total magnetic moment comes out at 0.2 μB per formula unit. As for the formation enthalpy at 0 K: 0.08 eV/atom. Its space group is R3m.

***

6.
The following is a GGA-PBE calculation of an optimized crystal structure of La3Zn8Ag3, from the Alexandria database.

The structure in extended XYZ format:
```
14
Lattice="-2.2989 4.5266 6.8523 2.2989 -4.5266 6.8523 2.2989 4.5266 -6.8523" Properties=species:S:1:pos:R:3 pbc="T T T"
La 0.0000 0.0000 0.0000
La 0.0000 0.0000 4.1018
La 0.0000 0.0000 9.6027
Zn 2.2989 -1.2733 2.3000
Zn 2.2989 -1.9813 4.9719
Zn 2.2989 1.2733 2.3000
Zn 0.0000 2.5453 1.8804
Zn 2.2989 1.9813 4.9719
Zn 0.0000 3.2532 4.5523
Zn 0.0000 6.5078 1.8804
Zn 0.0000 5.7999 4.5523
Ag 2.2989 2.6449 0.0000
Ag 0.0000 4.5266 0.0000
Ag 0.0000 1.8817 6.8523
```

## Properties
The crystal system is orthorhombic. The calculation puts the total DFT energy (no corrections) at -2.711 eV per atom. The total magnetic moment comes out at 0.0 μB per formula unit. As for the formation enthalpy at 0 K: -0.32 eV/atom. Its space group is Immm.

***

7.
The following is a GGA-PBE calculation of an optimized crystal structure of La2ZnAg2, from the Alexandria database.

The structure in extended XYZ format:
```
10
Lattice="7.9600 0.0000 0.0000 0.0000 7.9600 0.0000 0.0000 0.0000 4.1953" Properties=species:S:1:pos:R:3 pbc="T T T"
La 1.4099 2.5701 0.0000
La 2.5701 6.5501 0.0000
La 5.3900 1.4099 0.0000
La 6.5501 5.3900 0.0000
Zn 0.0000 0.0000 2.0977
Zn 3.9800 3.9800 2.0977
Ag 1.0024 4.9824 2.0977
Ag 2.9776 1.0024 2.0977
Ag 4.9824 6.9576 2.0977
Ag 6.9576 2.9776 2.0977
```

## Properties
The crystal system is tetragonal. The calculation puts the total DFT energy (no corrections) at -3.588 eV per atom. The total magnetic moment comes out at 0.0 μB per formula unit. For the energy above the most stable polymorph in this dataset, the calculation gives 60 meV/atom. As for the formation enthalpy at 0 K: -0.22 eV/atom. Its space group is P4/mbm.

***

8.
The following is a GGA-PBE calculation of an optimized crystal structure of La2ZnAg, from the Alexandria database.

The structure in extended XYZ format:
```
8
Lattice="9.3780 0.0000 0.0000 0.0000 3.7873 0.0000 -1.4835 0.0000 6.6786" Properties=species:S:1:pos:R:3 pbc="T T T"
La 1.9839 0.0000 1.6297
La 1.2216 1.8936 5.0488
La 5.9106 0.0000 5.0488
La 6.6729 1.8936 1.6297
Zn 0.0000 1.8936 0.0000
Zn 4.6890 0.0000 0.0000
Ag -0.7417 0.0000 3.3393
Ag 3.9472 1.8936 3.3393
```

## Properties
The crystal system is monoclinic. The calculation puts the total DFT energy (no corrections) at -3.550 eV per atom. The total magnetic moment comes out at 0.0 μB per formula unit. As for the formation enthalpy at 0 K: -0.05 eV/atom. Its space group is C2/m.

***

9.
The following is a GGA-PBE calculation of an optimized crystal structure of La6Zn3Ag, from the Alexandria database.

The structure in extended XYZ format:
```
20
Lattice="9.3753 0.0000 0.0000 0.0000 5.3665 0.0000 -3.8034 0.0000 11.2573" Properties=species:S:1:pos:R:3 pbc="T T T"
La -1.2594 1.3416 4.5925
La 0.7313 4.0249 2.0026
La -1.5917 1.3416 11.1992
La 0.0694 4.0249 9.0304
La 2.1888 1.3416 4.0457
La 1.4205 1.3416 7.0794
La 4.1514 4.0249 4.1779
La 3.3830 4.0249 7.2116
La 5.5024 1.3416 2.2269
La 7.1636 4.0249 0.0582
La 4.8406 1.3416 9.2547
La 6.8313 4.0249 6.6648
Zn -3.0185 4.0249 9.8915
Zn -1.6454 1.3416 8.0054
Zn 0.6628 4.0249 5.3542
Zn 4.9091 1.3416 5.9031
Zn 7.2173 4.0249 3.2519
Zn 8.5903 1.3416 1.3658
Ag 3.8982 4.0249 0.9982
Ag 1.6737 1.3416 10.2591
```

## Properties
The crystal system is monoclinic. The calculation puts the total DFT energy (no corrections) at -3.826 eV per atom. The total magnetic moment comes out at 0.0 μB per formula unit. As for the formation enthalpy at 0 K: -0.20 eV/atom. Its space group is P2_1/m.

***

10.
The following is a GGA-PBE calculation of an optimized crystal structure of LaZn2Ag10, from the Alexandria database.

The structure in extended XYZ format:
```
13
Lattice="0.0000 6.7121 6.8020 2.7165 0.0000 6.8020 2.7165 6.7121 0.0000" Properties=species:S:1:pos:R:3 pbc="T T T"
La 0.0000 0.0000 0.0000
Zn 1.3583 0.0000 3.4010
Zn 1.3583 6.7121 3.4010
Ag 1.3583 3.3561 0.0000
Ag 2.7165 4.4047 2.4203
Ag 2.7165 5.2819 5.2688
Ag 2.7165 9.0195 2.4203
Ag 2.7165 8.1423 5.2688
Ag 1.3583 3.3561 6.8020
Ag 2.7165 5.2819 8.3352
Ag 2.7165 4.4047 11.1837
Ag 2.7165 8.1423 8.3352
Ag 2.7165 9.0195 11.1837
```

## Properties
The crystal system is orthorhombic. The calculation puts the total DFT energy (no corrections) at -2.866 eV per atom. The total magnetic moment comes out at 0.0 μB per formula unit. As for the formation enthalpy at 0 K: -0.10 eV/atom. Its space group is Fmmm.

***

11.
The following is a GGA-PBE calculation of an optimized crystal structure of LaZn2Ag2, from the Alexandria database.

The structure in extended XYZ format:
```
10
Lattice="8.1718 0.0000 0.0000 0.0000 8.1718 0.0000 0.0000 0.0000 2.9992" Properties=species:S:1:pos:R:3 pbc="T T T"
La 0.0000 0.0000 0.0000
La 4.0859 4.0859 0.0000
Zn 1.3819 2.7041 1.4996
Zn 2.7041 6.7900 1.4996
Zn 5.4678 1.3819 1.4996
Zn 6.7900 5.4678 1.4996
Ag 1.0168 5.1027 0.0000
Ag 3.0692 1.0168 0.0000
Ag 5.1027 7.1551 0.0000
Ag 7.1551 3.0692 0.0000
```

## Properties
The crystal system is tetragonal. The calculation puts the total DFT energy (no corrections) at -2.707 eV per atom. The total magnetic moment comes out at 0.0 μB per formula unit. For the energy above the most stable polymorph in this dataset, the calculation gives 174 meV/atom. As for the formation enthalpy at 0 K: -0.07 eV/atom. Its space group is P4/mbm.